Entry 1:
BeSiSCl2 | Alexandria | GGA-PBE | relaxed; total moment = 0.00 μB per cell; VASP energy = -3.509 eV/atom; space group = P4/mmm (123); ΔE_f (raw) = -0.1146 eV per atom; excess energy over the best structure of this formula in the dataset = 0.0 meV/atom
1.0
4.2702 0.0000 0.0000
0.0000 4.2702 0.0000
0.0000 0.0000 4.8825
Be Si S Cl
1 1 1 2
Cartesian
0.0000 0.0000 0.0000 Be
2.1351 2.1351 2.4413 Si
0.0000 0.0000 2.4413 S
0.0000 2.1351 0.0000 Cl
2.1351 0.0000 0.0000 Cl

Entry 2:
BeSiSCl2 | Alexandria | GGA-PBE | relaxed; total moment = 0.25 μB per cell; VASP energy = -3.086 eV/atom; space group = P4/mmm (123); ΔE_f (raw) = 0.3078 eV per atom; excess energy over the best structure of this formula in the dataset = 422.3 meV/atom
1.0
4.6809 0.0000 0.0000
0.0000 4.6809 0.0000
0.0000 0.0000 4.6534
Be Si S Cl
1 1 1 2
Cartesian
0.0000 0.0000 0.0000 Be
2.3405 2.3405 2.3267 Si
2.3405 2.3405 0.0000 S
0.0000 2.3405 2.3267 Cl
2.3405 0.0000 2.3267 Cl

Entry 3:
SrBeS2Cl | Alexandria | GGA-PBE | relaxed; total moment = 0.00 μB per cell; VASP energy = -4.224 eV/atom; space group = P4/mmm (123); ΔE_f (raw) = -1.1220 eV per atom; excess energy over the best structure of this formula in the dataset = 0.0 meV/atom
1.0
4.3769 0.0000 0.0000
0.0000 4.3769 0.0000
0.0000 0.0000 5.1595
Sr Be S Cl
1 1 2 1
Cartesian
0.0000 0.0000 0.0000 Sr
2.1884 2.1884 2.5798 Be
0.0000 2.1884 2.5798 S
2.1884 0.0000 2.5798 S
2.1884 2.1884 0.0000 Cl